1.
A plane-wave DFT calculation with PBE was carried out for HoScCu5 after structural relaxation.

Cell lengths 8.2825, 5.0245, 10.8030 Å; angles 90.00, 90.00, 90.00 degrees
With the nearest neighbours (Å) after each atom.
Positions (direct):
Ho 0.1143 0.2500 0.1344  10 Cu 2.76-3.00
Ho 0.3857 0.7500 0.6344  10 Cu 2.76-3.00
Ho 0.6143 0.2500 0.3656  10 Cu 2.76-3.00
Ho 0.8857 0.7500 0.8656  10 Cu 2.76-3.00
Sc 0.2225 0.2500 0.4448  5 Cu 2.74-3.03
Sc 0.2775 0.7500 0.9448  5 Cu 2.74-3.03
Sc 0.7225 0.2500 0.0552  5 Cu 2.74-3.03
Sc 0.7775 0.7500 0.5552  5 Cu 2.74-3.03
Cu 0.0799 0.5009 0.6753  7 Cu 2.50-2.59
Cu 0.0799 0.9991 0.6753  7 Cu 2.50-2.59
Cu 0.0821 0.2500 0.8805  4 Cu 2.44-2.57
Cu 0.0972 0.7500 0.4736  5 Cu 2.49-2.52, 3 Sc 2.74-2.79
Cu 0.1763 0.7500 0.2510  7 Cu 2.44-2.59
Cu 0.3237 0.2500 0.7510  7 Cu 2.44-2.59
Cu 0.4028 0.2500 0.9736  5 Cu 2.49-2.52, 3 Sc 2.74-2.79
Cu 0.4179 0.7500 0.3805  4 Cu 2.44-2.57
Cu 0.4201 0.0009 0.1753  7 Cu 2.50-2.59
Cu 0.4201 0.4991 0.1753  7 Cu 2.50-2.59
Cu 0.5799 0.5009 0.8247  7 Cu 2.50-2.59
Cu 0.5799 0.9991 0.8247  7 Cu 2.50-2.59
Cu 0.5821 0.2500 0.6195  4 Cu 2.44-2.57
Cu 0.5972 0.7500 0.0264  5 Cu 2.49-2.52, 3 Sc 2.74-2.79
Cu 0.6763 0.7500 0.2490  7 Cu 2.44-2.59
Cu 0.8237 0.2500 0.7490  7 Cu 2.44-2.59
Cu 0.9028 0.2500 0.5264  5 Cu 2.49-2.52, 3 Sc 2.74-2.79
Cu 0.9179 0.7500 0.1195  4 Cu 2.44-2.57
Cu 0.9201 0.0009 0.3247  7 Cu 2.50-2.59
Cu 0.9201 0.4991 0.3247  7 Cu 2.50-2.59

Summary:
The space group is Pnma (62). For the density of states at the Fermi level, the calculation gives 0.53 states/eV/atom. The value obtained for the formation enthalpy at 0 K is -0.18 eV per atom. For the magnetization, the calculation gives 0.000 μB per formula unit.

---

2.
A plane-wave DFT calculation with PBE was carried out for Ho2ScCu9 after structural relaxation.

Cell lengths 5.0707, 5.0707, 16.6722 Å; angles 90.00, 90.00, 120.00 degrees
With the nearest neighbours (Å) after each atom.
Positions (direct):
Ho 0.3333 0.6667 0.0443  12 Cu 2.90-3.22
Ho 0.3333 0.6667 0.4557  12 Cu 2.90-3.22
Ho 0.6667 0.3333 0.5443  12 Cu 2.90-3.22
Ho 0.6667 0.3333 0.9557  12 Cu 2.90-3.22
Sc 0.3333 0.6667 0.2500  18 Cu 2.93-3.25
Sc 0.6667 0.3333 0.7500  18 Cu 2.93-3.25
Cu 0.0000 0.0000 0.0000  6 Cu 2.59
Cu 0.0000 0.0000 0.2500  6 Cu 2.51
Cu 0.0000 0.0000 0.5000  6 Cu 2.59
Cu 0.0000 0.0000 0.7500  6 Cu 2.51
Cu 0.1673 0.3346 0.6282  7 Cu 2.50-2.59
Cu 0.1673 0.3346 0.8718  7 Cu 2.50-2.59
Cu 0.1673 0.8327 0.6282  7 Cu 2.50-2.59
Cu 0.1673 0.8327 0.8718  7 Cu 2.50-2.59
Cu 0.3333 0.6667 0.7500  6 Cu 2.50
Cu 0.3346 0.1673 0.1282  7 Cu 2.50-2.59
Cu 0.3346 0.1673 0.3718  7 Cu 2.50-2.59
Cu 0.6654 0.8327 0.6282  7 Cu 2.50-2.59
Cu 0.6654 0.8327 0.8718  7 Cu 2.50-2.59
Cu 0.6667 0.3333 0.2500  6 Cu 2.50
Cu 0.8327 0.1673 0.1282  7 Cu 2.50-2.59
Cu 0.8327 0.1673 0.3718  7 Cu 2.50-2.59
Cu 0.8327 0.6654 0.1282  7 Cu 2.50-2.59
Cu 0.8327 0.6654 0.3718  7 Cu 2.50-2.59

Summary:
Its energy relative to the lowest polymorph listed for this composition is 0 meV per atom. The space group is P6_3/mmc (194). For the density of states at the Fermi level, the calculation gives 0.60 states/eV/atom. The value obtained for the formation enthalpy at 0 K is -0.18 eV per atom. For the magnetization, the calculation gives 0.000 μB per formula unit.

---

3.
A plane-wave DFT calculation with PBE was carried out for HoSc3Cu4 after structural relaxation.

Cell lengths 3.3055, 3.3055, 13.2213 Å; angles 90.00, 90.00, 90.00 degrees
With the nearest neighbours (Å) after each atom.
Positions (direct):
Ho 0.0000 0.0000 0.0000  8 Cu 2.99, 4 Ho 3.31
Sc 0.0000 0.0000 0.2575  8 Cu 2.80-2.83
Sc 0.0000 0.0000 0.5000  8 Cu 2.84
Sc 0.0000 0.0000 0.7425  8 Cu 2.80-2.83
Cu 0.5000 0.5000 0.1415  4 Sc 2.80, 4 Ho 2.99, 1 Cu 3.12
Cu 0.5000 0.5000 0.3778  8 Sc 2.83-2.84, 1 Cu 3.12
Cu 0.5000 0.5000 0.6222  8 Sc 2.83-2.84, 1 Cu 3.12
Cu 0.5000 0.5000 0.8585  4 Sc 2.80, 4 Ho 2.99, 1 Cu 3.12

Summary:
The space group is P4/mmm (123). For the density of states at the Fermi level, the calculation gives 0.67 states/eV/atom. The value obtained for the formation enthalpy at 0 K is -0.27 eV per atom. For the magnetization, the calculation gives 0.000 μB per formula unit.

---

4.
A plane-wave DFT calculation with PBE was carried out for HoSc5Cu4 after structural relaxation.

Cell lengths 3.2647, 3.2647, 18.1100 Å; angles 90.00, 90.00, 90.00 degrees
With the nearest neighbours (Å) after each atom.
Positions (direct):
Ho 0.0000 0.0000 0.0000  4 Ho 3.26, 8 Sc 3.42
Sc 0.5000 0.5000 0.1394  4 Cu 2.82
Sc 0.5000 0.5000 0.3189  8 Cu 2.83-2.84
Sc 0.5000 0.5000 0.5000  8 Cu 2.82
Sc 0.5000 0.5000 0.6811  8 Cu 2.83-2.84
Sc 0.5000 0.5000 0.8606  4 Cu 2.82
Cu 0.0000 0.0000 0.2288  8 Sc 2.82-2.83
Cu 0.0000 0.0000 0.4105  8 Sc 2.82-2.84
Cu 0.0000 0.0000 0.5895  8 Sc 2.82-2.84
Cu 0.0000 0.0000 0.7712  8 Sc 2.82-2.83

Summary:
The space group is P4/mmm (123). For the density of states at the Fermi level, the calculation gives 1.02 states/eV/atom. The value obtained for the formation enthalpy at 0 K is -0.20 eV per atom. For the magnetization, the calculation gives 0.001 μB per formula unit.

---

5.
A plane-wave DFT calculation with PBE was carried out for Ho4ScCu after structural relaxation.

Cell lengths 3.4426, 3.4426, 13.4233 Å; angles 90.00, 90.00, 90.00 degrees
With the nearest neighbours (Å) after each atom.
Positions (direct):
Ho 0.0000 0.0000 0.1288  4 Cu 2.99
Ho 0.0000 0.0000 0.8712  4 Cu 2.99
Ho 0.5000 0.5000 0.3258  4 Sc 3.38, 8 Ho 3.44-3.59
Ho 0.5000 0.5000 0.6742  4 Sc 3.38, 8 Ho 3.44-3.59
Sc 0.0000 0.0000 0.5000  8 Ho 3.38, 4 Sc 3.44
Cu 0.5000 0.5000 0.0000  8 Ho 2.99

Summary:
The space group is P4/mmm (123). For the density of states at the Fermi level, the calculation gives 1.19 states/eV/atom. The value obtained for the formation enthalpy at 0 K is -0.05 eV per atom. For the magnetization, the calculation gives 0.000 μB per formula unit.

---

6.
A plane-wave DFT calculation with PBE was carried out for HoScCu4 after structural relaxation.

Cell lengths 5.3704, 5.3704, 5.3704 Å; angles 133.95, 104.23, 93.45 degrees
With the nearest neighbours (Å) after each atom.
Positions (direct):
Ho 0.0000 0.0000 0.0000  12 Cu 2.91-2.99
Sc 0.5000 0.0000 0.5000  12 Cu 2.88-3.02
Cu 0.0989 0.3345 0.7644  3 Cu 2.44-2.45
Cu 0.4299 0.6655 0.7644  3 Cu 2.44-2.45
Cu 0.5701 0.3345 0.2356  3 Cu 2.44-2.45
Cu 0.9011 0.6655 0.2356  3 Cu 2.44-2.45

Summary:
Its energy relative to the lowest polymorph listed for this composition is 20 meV per atom. The space group is Immm (71). For the density of states at the Fermi level, the calculation gives 0.68 states/eV/atom. The value obtained for the formation enthalpy at 0 K is -0.22 eV per atom. For the magnetization, the calculation gives 0.000 μB per formula unit.

---

7.
A plane-wave DFT calculation with PBE was carried out for Ho2ScCuSe5 after structural relaxation.

Cell lengths 8.7540, 8.7540, 11.8459 Å; angles 90.00, 90.00, 154.10 degrees
With the nearest neighbours (Å) after each atom.
Positions (direct):
Ho 0.1097 0.8903 0.5000  8 Se 2.96-3.07
Ho 0.1258 0.8742 0.1206  8 Se 2.90-3.17
Ho 0.8742 0.1258 0.6206  8 Se 2.90-3.17
Ho 0.8903 0.1097 0.0000  8 Se 2.96-3.07
Sc 0.1910 0.8090 0.8257  6 Se 2.59-2.78
Sc 0.8090 0.1910 0.3257  6 Se 2.59-2.78
Cu 0.4329 0.5671 0.2698  4 Se 2.38-2.47
Cu 0.5671 0.4329 0.7698  4 Se 2.38-2.47
Se 0.0442 0.9558 0.8801  2 Cu 2.39, 1 Sc 2.59
Se 0.2862 0.7138 0.4833  2 Sc 2.74, 3 Ho 2.96-3.02
Se 0.3088 0.6912 0.1617  1 Cu 2.47, 2 Sc 2.76
Se 0.3536 0.6464 0.8152  1 Sc 2.78, 4 Ho 3.01-3.05
Se 0.4980 0.5020 0.5949  1 Cu 2.38
Se 0.5020 0.4980 0.0949  1 Cu 2.38
Se 0.6464 0.3536 0.3152  1 Sc 2.78, 4 Ho 3.01-3.05
Se 0.6912 0.3088 0.6617  1 Cu 2.47, 2 Sc 2.76
Se 0.7138 0.2862 0.9833  2 Sc 2.74, 3 Ho 2.96-3.02
Se 0.9558 0.0442 0.3801  2 Cu 2.39, 1 Sc 2.59

Summary:
The space group is Cmc2_1 (36). As for the total energy: -5.606 eV per atom. For the density of states at the Fermi level, the calculation gives 0.01 states/eV/atom. For the magnetization, the calculation gives 0.000 μB per formula unit.

---

8.
A plane-wave DFT calculation with PBE was carried out for HoScCuSi after structural relaxation.

Cell lengths 4.7665, 4.7665, 4.7665 Å; angles 60.00, 60.00, 60.00 degrees
With the nearest neighbours (Å) after each atom.
Positions (direct):
Ho 0.0000 0.0000 0.0000  4 Cu 2.92, 4 Si 2.92
Sc 0.5000 0.5000 0.5000  4 Cu 2.92, 4 Si 2.92
Cu 0.2500 0.2500 0.2500  4 Ho 2.92, 4 Sc 2.92
Si 0.7500 0.7500 0.7500  4 Ho 2.92, 4 Sc 2.92

Summary:
The space group is F-43m (216). As for the total energy: -5.551 eV per atom. For the density of states at the Fermi level, the calculation gives 0.87 states/eV/atom. For the magnetization, the calculation gives 0.000 μB per formula unit.

---

9.
A plane-wave DFT calculation with PBE was carried out for SmHoScCu after structural relaxation.

Cell lengths 5.1837, 5.1837, 5.1837 Å; angles 60.00, 60.00, 60.00 degrees
With the nearest neighbours (Å) after each atom.
Positions (direct):
Sm 0.0000 0.0000 0.0000  4 Cu 3.17, 4 Sc 3.17
Ho 0.5000 0.5000 0.5000  4 Sc 3.17, 4 Cu 3.17
Sc 0.7500 0.7500 0.7500  4 Ho 3.17, 4 Sm 3.17
Cu 0.2500 0.2500 0.2500  4 Ho 3.17, 4 Sm 3.17

Summary:
The space group is F-43m (216). For the density of states at the Fermi level, the calculation gives 0.92 states/eV/atom. The value obtained for the formation enthalpy at 0 K is 0.13 eV per atom. For the magnetization, the calculation gives 0.000 μB per formula unit.

---

10.
A plane-wave DFT calculation with PBE was carried out for HoScCuSn after structural relaxation.

Cell lengths 4.9828, 4.9828, 4.9828 Å; angles 60.00, 60.00, 60.00 degrees
With the nearest neighbours (Å) after each atom.
Positions (direct):
Ho 0.0000 0.0000 0.0000  4 Sn 3.05, 4 Cu 3.05
Sc 0.5000 0.5000 0.5000  4 Sn 3.05, 4 Cu 3.05
Cu 0.7500 0.7500 0.7500  4 Ho 3.05, 4 Sc 3.05
Sn 0.2500 0.2500 0.2500  4 Ho 3.05, 4 Sc 3.05

Summary:
The space group is F-43m (216). For the density of states at the Fermi level, the calculation gives 1.04 states/eV/atom. The value obtained for the formation enthalpy at 0 K is -0.41 eV per atom. For the magnetization, the calculation gives 0.114 μB per formula unit.

---

11.
A plane-wave DFT calculation with PBE was carried out for TbHoScCu after structural relaxation.

Cell lengths 5.1498, 5.1498, 5.1498 Å; angles 60.00, 60.00, 60.00 degrees
With the nearest neighbours (Å) after each atom.
Positions (direct):
Tb 0.0000 0.0000 0.0000  4 Sc 3.15, 4 Cu 3.15
Ho 0.5000 0.5000 0.5000  4 Sc 3.15, 4 Cu 3.15
Sc 0.7500 0.7500 0.7500  4 Tb 3.15, 4 Ho 3.15
Cu 0.2500 0.2500 0.2500  4 Tb 3.15, 4 Ho 3.15

Summary:
The space group is F-43m (216). For the density of states at the Fermi level, the calculation gives 0.88 states/eV/atom. The value obtained for the formation enthalpy at 0 K is 0.12 eV per atom. For the magnetization, the calculation gives 0.001 μB per formula unit.

---

Q: magnetization of number 2 (Ho2ScCu9)?
A: 0.000 μB per formula unit

---

Copy entry 5 word for word.
A plane-wave DFT calculation with PBE was carried out for Ho4ScCu after structural relaxation.

Cell lengths 3.4426, 3.4426, 13.4233 Å; angles 90.00, 90.00, 90.00 degrees
With the nearest neighbours (Å) after each atom.
Positions (direct):
Ho 0.0000 0.0000 0.1288  4 Cu 2.99
Ho 0.0000 0.0000 0.8712  4 Cu 2.99
Ho 0.5000 0.5000 0.3258  4 Sc 3.38, 8 Ho 3.44-3.59
Ho 0.5000 0.5000 0.6742  4 Sc 3.38, 8 Ho 3.44-3.59
Sc 0.0000 0.0000 0.5000  8 Ho 3.38, 4 Sc 3.44
Cu 0.5000 0.5000 0.0000  8 Ho 2.99

Summary:
The space group is P4/mmm (123). For the density of states at the Fermi level, the calculation gives 1.19 states/eV/atom. The value obtained for the formation enthalpy at 0 K is -0.05 eV per atom. For the magnetization, the calculation gives 0.000 μB per formula unit.

---

Q: What is the magnetization in the sixth record?
A: 0.000 μB per formula unit